CoGe3F, relaxed, DFT GGA+U; N(E_F) = 4.6 states/eV/cell; excess energy over the best structure of this formula in the dataset = 0.0 meV/atom
1.0
4.4801 0.0000 0.0000
0.0000 4.4801 0.0000
0.0000 0.0000 4.4801
Co Ge F
1 3 1
direct
0.0000 0.0000 0.0000
0.0000 0.0000 0.5000
0.0000 0.5000 0.0000
0.5000 0.0000 0.0000
0.5000 0.5000 0.5000


CoGeF3, relaxed, DFT GGA+U; N(E_F) = 5.2 states/eV/cell; excess energy over the best structure of this formula in the dataset = 0.0 meV/atom
1.0
4.0826 0.0000 0.0000
0.0000 4.0826 0.0000
0.0000 0.0000 4.0826
Co Ge F
1 1 3
direct
0.0000 0.0000 0.0000
0.5000 0.5000 0.5000
0.0000 0.0000 0.5000
0.0000 0.5000 0.0000
0.5000 0.0000 0.0000


Co3GeF, relaxed, DFT GGA+U; N(E_F) = 1.6 states/eV/cell; excess energy over the best structure of this formula in the dataset = 0.0 meV/atom
1.0
4.1388 0.0000 0.0000
0.0000 4.1388 0.0000
0.0000 0.0000 4.1388
Co Ge F
3 1 1
direct
0.0000 0.0000 0.5000
0.0000 0.5000 0.0000
0.5000 0.0000 0.0000
0.5000 0.5000 0.5000
0.0000 0.0000 0.0000


CoGeF2, relaxed, DFT GGA+U; N(E_F) = 3.8 states/eV/cell; excess energy over the best structure of this formula in the dataset = 0.0 meV/atom
1.0
1.5135 0.8738 7.0943
-1.5135 0.8738 7.0943
0.0000 -1.7476 7.0943
Co Ge F
1 1 2
direct
0.0000 0.0000 0.0000
0.5000 0.5000 0.5000
0.3930 0.3930 0.3930
0.6070 0.6070 0.6070


Co3GeF, relaxed, DFT GGA+U; N(E_F) = 5.2 states/eV/cell; excess energy over the best structure of this formula in the dataset = 457.0 meV/atom
1.0
4.6579 0.0000 0.0000
0.0000 4.6579 0.0000
0.0000 0.0000 4.6579
Co Ge F
3 1 1
direct
0.0000 0.0000 0.5000
0.0000 0.5000 0.0000
0.5000 0.0000 0.0000
0.0000 0.0000 0.0000
0.5000 0.5000 0.5000


Co2GeF, relaxed, DFT GGA+U; N(E_F) = 3.9 states/eV/cell; excess energy over the best structure of this formula in the dataset = 0.0 meV/atom
1.0
-3.0647 3.0647 3.1443
3.0647 -3.0647 3.1443
3.0647 3.0647 -3.1443
Co Ge F
4 2 2
direct
0.0824 0.6250 0.9574
0.3750 0.3324 0.4574
0.6676 0.1250 0.0426
0.8750 0.9176 0.5426
0.2500 0.7500 0.5000
0.5000 0.5000 0.0000
0.0000 0.0000 0.0000
0.7500 0.2500 0.5000


CoGeMo2F, relaxed, DFT GGA+U; N(E_F) = 3.0 states/eV/cell; DFT total energy = -4.2971 eV/atom
1.0
4.9559 0.0000 0.0000
0.0000 4.9559 0.0000
0.0000 0.0000 4.2780
Co Ge Mo F
1 1 2 1
direct
0.0000 0.0000 0.0000
0.0000 0.0000 0.5000
0.0000 0.5000 0.0000
0.5000 0.0000 0.0000
0.5000 0.5000 0.5000


CoGeN2F, relaxed, DFT GGA+U; N(E_F) = 1.6 states/eV/cell; excess energy over the best structure of this formula in the dataset = 62.6 meV/atom
1.0
3.6935 0.0000 0.0000
0.0000 3.6935 0.0000
0.0000 0.0000 4.2367
Co Ge N F
1 1 2 1
direct
0.0000 0.0000 0.0000
0.5000 0.5000 0.5000
0.0000 0.5000 0.0000
0.5000 0.0000 0.0000
0.0000 0.0000 0.5000


- Look up the N(E_F) of the second one.
  5.2 states/eV/cell